Here is RbLiThSe3 after structural relaxation from Alexandria. Energies are from PBE-GGA.

The structure in POSCAR format:
```
RbLiThSe3
1.0
9.502 0.000 0.000
0.000 4.378 0.000
-2.838 0.000 9.375
Rb Li Th Se
2 2 2 6
Direct
0.203 0.250 0.253 Rb
0.797 0.750 0.747 Rb
0.080 0.250 0.593 Li
0.920 0.750 0.407 Li
0.321 0.750 0.840 Th
0.679 0.250 0.160 Th
0.129 0.250 0.868 Se
0.198 0.750 0.540 Se
0.465 0.750 0.156 Se
0.535 0.250 0.844 Se
0.802 0.250 0.460 Se
0.871 0.750 0.132 Se
```

ΔE_f (raw) = -1.56 eV/atom